(1)
The following is a PBE calculation of a relaxed Ti4Al2O crystal, from Alexandria via LeMat-Bulk.

abc: 11.753 11.753 11.753
angles: 90.00 90.00 90.00
Space group Fd-3m (No. 227, origin choice 2)
Symmetry-distinct sites (fractional):
Ti (0.000, 0.000, 0.000) (multiplicity 16)
Ti (0.064, 0.375, 0.875) (multiplicity 48)
Al (0.034, 0.034, 0.216) (multiplicity 32)
O (0.000, 0.000, 0.500) (multiplicity 16)

Output
formation energy without anion corrections: -0.94 eV per atom
E: -7.233 eV/atom
spin magnetization: 0.00 μB/f.u.
N(E_F): 0.971 states/eV/atom

=====

(2)
The following is a PBE calculation of a relaxed Li2FeSb crystal, from Alexandria via LeMat-Bulk.

abc: 5.377 8.022 3.142
angles: 90.00 90.00 90.00
Space group Cmmm (No. 65)
Symmetry-distinct sites (fractional):
Li (0.250, 0.250, 0.000) (multiplicity 4)
Fe (0.000, 0.000, 0.500) (multiplicity 2)
Sb (0.000, 0.500, 0.500) (multiplicity 2)

Output
formation energy without anion corrections: 0.06 eV per atom
E: -4.043 eV/atom
spin magnetization: 2.74 μB/f.u.
N(E_F): 0.783 states/eV/atom

=====

(3)
The following is a PBE calculation of a relaxed NiIr2Pb crystal, from Alexandria via LeMat-Bulk.

abc: 2.9737 2.9737 25.9778
angles: 90.00 90.00 120.00
Space group R-3m (No. 166, hexagonal axes)
Symmetry-distinct sites (fractional):
Ni (0.0000, 0.0000, 0.0000) (multiplicity 3)
Ir (0.0000, 0.0000, 0.2618) (multiplicity 6)
Pb (0.0000, 0.0000, 0.5000) (multiplicity 3)

Output
ΔH_f (0 K): 0.587 eV/atom
E: -6.216 eV/atom
spin magnetization: 0.00 μB/f.u.
N(E_F): 1.365 states/eV/atom

=====

(4)
The following is a PBE calculation of a relaxed K2RbSb2 crystal, from Alexandria via LeMat-Bulk.

abc: 12.869 5.209 6.901
angles: 90.00 93.14 90.00
Space group C2/m (No. 12)
Symmetry-distinct sites (fractional):
K (0.150, 0.000, 0.375) (multiplicity 4)
Rb (0.000, 0.500, 0.000) (multiplicity 2)
Sb (0.217, 0.000, 0.895) (multiplicity 4)

Output
formation energy without anion corrections: -0.32 eV per atom
E: -2.602 eV/atom
spin magnetization: 0.00 μB/f.u.
distance to the lowest polymorph of the same formula: 0.161 eV per formula unit
N(E_F): 0.135 states/eV/atom